# PaMnB PBE-GGA optimized geometry
# Total magnetic moment ... 0.00 μB per formula unit
# Energy of formation from the pure elements ... -0.079 eV/atom
data_PaMnB
_cell_length_a 2.9248
_cell_length_b 2.9248
_cell_length_c 9.3180
_cell_angle_alpha 90.00
_cell_angle_beta 90.00
_cell_angle_gamma 90.00
_symmetry_space_group_name_H-M 'I 4 m m'
_symmetry_Int_Tables_number 107
_symmetry_space_group_name_Hall 'I 4 -2'
loop_
_atom_site_label
_atom_site_type_symbol
_atom_site_fract_x
_atom_site_fract_y
_atom_site_fract_z
_atom_site_occupancy
Pa1 Pa 0.0000 0.0000 0.0000 1
Mn1 Mn 0.0000 0.0000 0.7295 1
B1 B 0.0000 0.0000 0.2985 1

# PaMn4B4 PBE-GGA optimized geometry
# Total magnetic moment ... 3.29 μB per formula unit
# Energy of formation from the pure elements ... -0.483 eV/atom
data_PaMn4B4
_cell_length_a 5.1022
_cell_length_b 5.1022
_cell_length_c 7.0399
_cell_angle_alpha 90.00
_cell_angle_beta 90.00
_cell_angle_gamma 90.00
_symmetry_space_group_name_H-M 'P 42/n m c'
_symmetry_Int_Tables_number 137
loop_
_symmetry_equiv_pos_as_xyz
'x,y,z'
'-x,-y,-z'
'-y+1/2,x,z+1/2'
'y+1/2,-x,-z+1/2'
'-x+1/2,-y+1/2,z'
'x+1/2,y+1/2,-z'
'y,-x+1/2,z+1/2'
'-y,x+1/2,-z+1/2'
'x+1/2,-y,-z'
'-x+1/2,y,z'
'-y,-x,-z+1/2'
'y,x,z+1/2'
'-x,y+1/2,-z'
'x,-y+1/2,z'
'y+1/2,x+1/2,-z+1/2'
'-y+1/2,-x+1/2,z+1/2'
loop_
_atom_site_label
_atom_site_type_symbol
_atom_site_fract_x
_atom_site_fract_y
_atom_site_fract_z
_atom_site_occupancy
Pa1 Pa 0.2500 0.7500 0.2500 1
Mn1 Mn 0.0082 0.7500 0.6134 1
B1 B 0.0798 0.2500 0.0955 1

# PaMnB PBE-GGA optimized geometry
# Total magnetic moment ... 0.58 μB per formula unit
# Energy of formation from the pure elements ... -0.187 eV/atom
data_PaMnB
_cell_length_a 3.6560
_cell_length_b 3.6560
_cell_length_c 3.7904
_cell_angle_alpha 90.00
_cell_angle_beta 90.00
_cell_angle_gamma 120.00
_symmetry_space_group_name_H-M 'P -6 m 2'
_symmetry_Int_Tables_number 187
_symmetry_space_group_name_Hall 'P -6 2'
loop_
_atom_site_label
_atom_site_type_symbol
_atom_site_fract_x
_atom_site_fract_y
_atom_site_fract_z
_atom_site_occupancy
Pa1 Pa 0.0000 0.0000 0.0000 1
Mn1 Mn 0.6667 0.3333 0.5000 1
B1 B 0.3333 0.6667 0.5000 1

# PaMn5B3 PBE-GGA optimized geometry
# Total magnetic moment ... 3.10 μB per formula unit
# Energy of formation from the pure elements ... -0.253 eV/atom
data_PaMn5B3
_cell_length_a 3.3358
_cell_length_b 11.3745
_cell_length_c 10.5706
_cell_angle_alpha 90.00
_cell_angle_beta 90.00
_cell_angle_gamma 90.00
_symmetry_space_group_name_H-M 'C m c m'
_symmetry_Int_Tables_number 63
_symmetry_space_group_name_Hall '-C 2c 2'
loop_
_atom_site_label
_atom_site_type_symbol
_atom_site_fract_x
_atom_site_fract_y
_atom_site_fract_z
_atom_site_occupancy
Pa1 Pa 0.0000 0.1642 0.2500 1
Mn1 Mn 0.0000 0.0000 0.0000 1
Mn2 Mn 0.0000 0.1938 0.5599 1
Mn3 Mn 0.0000 0.4498 0.1477 1
B1 B 0.0000 0.1370 0.7500 1
B2 B 0.0000 0.3798 0.5494 1

# PaMnB4 PBE-GGA optimized geometry
# Total magnetic moment ... 0.00 μB per formula unit
# Energy of formation from the pure elements ... -0.660 eV/atom
data_PaMnB4
_cell_length_a 5.8977
_cell_length_b 11.4366
_cell_length_c 3.4975
_cell_angle_alpha 90.00
_cell_angle_beta 90.00
_cell_angle_gamma 90.00
_symmetry_space_group_name_H-M 'P b a m'
_symmetry_Int_Tables_number 55
loop_
_symmetry_equiv_pos_as_xyz
'x,y,z'
'-x,-y,-z'
'-x,-y,z'
'x,y,-z'
'x+1/2,-y+1/2,-z'
'-x+1/2,y+1/2,z'
'-x+1/2,y+1/2,-z'
'x+1/2,-y+1/2,z'
loop_
_atom_site_label
_atom_site_type_symbol
_atom_site_fract_x
_atom_site_fract_y
_atom_site_fract_z
_atom_site_occupancy
Pa1 Pa 0.1267 0.1502 0.0000 1
Mn1 Mn 0.1343 0.4086 0.0000 1
B1 B 0.0256 0.6897 0.5000 1
B2 B 0.1115 0.5453 0.5000 1
B3 B 0.1390 0.9669 0.5000 1
B4 B 0.2175 0.8146 0.5000 1

# Pa2MnB2Ru5 PBE-GGA optimized geometry
# Total magnetic moment ... 3.70 μB per formula unit
# Energy of formation from the pure elements ... -0.499 eV/atom
data_Pa2MnB2Ru5
_cell_length_a 9.5615
_cell_length_b 9.5615
_cell_length_c 3.1900
_cell_angle_alpha 90.00
_cell_angle_beta 90.00
_cell_angle_gamma 90.00
_symmetry_space_group_name_H-M 'P 4/m b m'
_symmetry_Int_Tables_number 127
_symmetry_space_group_name_Hall '-P 4 2ab'
loop_
_atom_site_label
_atom_site_type_symbol
_atom_site_fract_x
_atom_site_fract_y
_atom_site_fract_z
_atom_site_occupancy
Pa1 Pa 0.1771 0.3229 0.0000 1
Mn1 Mn 0.0000 0.0000 0.0000 1
B1 B 0.1216 0.6216 0.0000 1
Ru1 Ru 0.0000 0.5000 0.5000 1
Ru2 Ru 0.0708 0.7805 0.5000 1

# MnBPb2 PBE-GGA optimized geometry
# Total magnetic moment ... 4.00 μB per formula unit
# Energy of formation from the pure elements ... 0.965 eV/atom
data_MnBPb2
_cell_length_a 7.2060
_cell_length_b 7.2060
_cell_length_c 6.6108
_cell_angle_alpha 90.00
_cell_angle_beta 90.00
_cell_angle_gamma 90.00
_symmetry_space_group_name_H-M 'I -4 2 d'
_symmetry_Int_Tables_number 122
_symmetry_space_group_name_Hall 'I -4 2bw'
loop_
_atom_site_label
_atom_site_type_symbol
_atom_site_fract_x
_atom_site_fract_y
_atom_site_fract_z
_atom_site_occupancy
Mn1 Mn 0.0000 0.0000 0.0000 1
B1 B 0.0000 0.0000 0.5000 1
Pb1 Pb 0.1968 0.2500 0.6250 1

# MnBPb2 PBE-GGA optimized geometry
# Total magnetic moment ... 0.00 μB per formula unit
# Energy of formation from the pure elements ... 1.488 eV/atom
data_MnBPb2
_cell_length_a 6.7266
_cell_length_b 6.7266
_cell_length_c 6.7266
_cell_angle_alpha 90.00
_cell_angle_beta 90.00
_cell_angle_gamma 90.00
_symmetry_space_group_name_H-M 'F m -3 m'
_symmetry_Int_Tables_number 225
_symmetry_space_group_name_Hall '-F 4 2 3'
loop_
_atom_site_label
_atom_site_type_symbol
_atom_site_fract_x
_atom_site_fract_y
_atom_site_fract_z
_atom_site_occupancy
Mn1 Mn 0.0000 0.0000 0.0000 1
B1 B 0.0000 0.0000 0.5000 1
Pb1 Pb 0.2500 0.2500 0.2500 1

# Mn2BPb PBE-GGA optimized geometry
# Total magnetic moment ... 3.06 μB per formula unit
# Energy of formation from the pure elements ... 1.076 eV/atom
data_Mn2BPb
_cell_length_a 5.9768
_cell_length_b 5.9768
_cell_length_c 5.9768
_cell_angle_alpha 90.00
_cell_angle_beta 90.00
_cell_angle_gamma 90.00
_symmetry_space_group_name_H-M 'F m -3 m'
_symmetry_Int_Tables_number 225
_symmetry_space_group_name_Hall '-F 4 2 3'
loop_
_atom_site_label
_atom_site_type_symbol
_atom_site_fract_x
_atom_site_fract_y
_atom_site_fract_z
_atom_site_occupancy
Mn1 Mn 0.2500 0.2500 0.2500 1
B1 B 0.0000 0.0000 0.0000 1
Pb1 Pb 0.0000 0.0000 0.5000 1

# Mn2BPb PBE-GGA optimized geometry
# Total magnetic moment ... 5.81 μB per formula unit
# Energy of formation from the pure elements ... 0.711 eV/atom
data_Mn2BPb
_cell_length_a 5.4569
_cell_length_b 5.4569
_cell_length_c 10.1792
_cell_angle_alpha 90.00
_cell_angle_beta 90.00
_cell_angle_gamma 90.00
_symmetry_space_group_name_H-M 'I -4 2 d'
_symmetry_Int_Tables_number 122
_symmetry_space_group_name_Hall 'I -4 2bw'
loop_
_atom_site_label
_atom_site_type_symbol
_atom_site_fract_x
_atom_site_fract_y
_atom_site_fract_z
_atom_site_occupancy
Mn1 Mn 0.1058 0.2500 0.1250 1
B1 B 0.0000 0.0000 0.0000 1
Pb1 Pb 0.0000 0.0000 0.5000 1

# MnBPb3 PBE-GGA optimized geometry
# Total magnetic moment ... 4.37 μB per formula unit
# Energy of formation from the pure elements ... 0.949 eV/atom
data_MnBPb3
_cell_length_a 5.0587
_cell_length_b 5.0587
_cell_length_c 5.0587
_cell_angle_alpha 90.00
_cell_angle_beta 90.00
_cell_angle_gamma 90.00
_symmetry_space_group_name_H-M 'P m -3 m'
_symmetry_Int_Tables_number 221
_symmetry_space_group_name_Hall '-P 4 2 3'
loop_
_atom_site_label
_atom_site_type_symbol
_atom_site_fract_x
_atom_site_fract_y
_atom_site_fract_z
_atom_site_occupancy
Mn1 Mn 0.0000 0.0000 0.0000 1
B1 B 0.5000 0.5000 0.5000 1
Pb1 Pb 0.0000 0.5000 0.5000 1

| no. | DOS at the Fermi energy (states/eV per atom) |
| --- | --- |
| 1 | 0.95 |
| 2 | 0.44 |
| 3 | 1.45 |
| 4 | 1.07 |
| 5 | 0.51 |
| 6 | 0.64 |
| 7 | 0.45 |
| 8 | 3.45 |
| 9 | 0.72 |
| 10 | 0.62 |
| 11 | 0.61 |